A geometry-optimized KSi2MoP structure. Source: the Alexandria database, functional GGA-PBE.

Output
- Symmetry: P4/mmm (123)
- Formation energy (no corrections): 189 meV per atom

Unit cell a=4.830 b=4.830 c=4.805 alpha=90.00 beta=90.00 gamma=90.00
Fractional coordinates of all 5 atoms:
K  0.000  0.000  0.000
Si  0.000  0.500  0.500
Si  0.500  0.000  0.500
Mo  0.500  0.500  0.500
P  0.500  0.500  0.000

A geometry-optimized KSr2MoP structure. Source: the Alexandria database, functional GGA-PBE.

Output
- Symmetry: P4/mmm (123)

Unit cell a=5.876 b=5.876 c=6.160 alpha=90.00 beta=90.00 gamma=90.00
Fractional coordinates of all 5 atoms:
K  0.000  0.000  0.000
Sr  0.000  0.500  0.500
Sr  0.500  0.000  0.500
Mo  0.500  0.500  0.000
P  0.000  0.000  0.500

A geometry-optimized KMo2Pb structure. Source: the Alexandria database, functional GGA-PBE.

Output
- Symmetry: P2/m (10)

Unit cell a=2.962 b=5.413 c=6.661 alpha=90.00 beta=90.79 gamma=90.00
Fractional coordinates of all 4 atoms:
K  0.000  0.000  0.000
Mo  0.373  0.500  0.658
Mo  0.627  0.500  0.342
Pb  0.500  0.000  0.500

A geometry-optimized K2MoPb structure. Source: the Alexandria database, functional GGA-PBE.

Output
- Symmetry: Immm (71)

Unit cell a=6.722 b=6.722 c=6.722 alpha=141.76 beta=141.65 gamma=55.27
Fractional coordinates of all 4 atoms:
K  0.249  0.249  0.000
K  0.751  0.751  0.000
Mo  0.000  0.500  0.500
Pb  0.500  0.000  0.500

A geometry-optimized KMo2Pb structure. Source: the Alexandria database, functional GGA-PBE.

Output
- Symmetry: Pmmm (47)

Unit cell a=3.230 b=4.605 c=7.382 alpha=90.00 beta=90.00 gamma=90.00
Fractional coordinates of all 4 atoms:
K  0.000  0.000  0.000
Mo  0.500  0.500  0.354
Mo  0.500  0.500  0.646
Pb  0.000  0.000  0.500

A geometry-optimized KMo2Pb structure. Source: the Alexandria database, functional GGA-PBE.

Output
- Symmetry: R-3m (166)

Unit cell a=11.143 b=11.143 c=11.143 alpha=15.71 beta=15.71 gamma=15.71
Fractional coordinates of all 4 atoms:
K  0.000  0.000  0.000
Mo  0.240  0.240  0.240
Mo  0.760  0.760  0.760
Pb  0.500  0.500  0.500

A geometry-optimized K2MoPb structure. Source: the Alexandria database, functional GGA-PBE.

Output
- Symmetry: Pmmm (47)

Unit cell a=3.183 b=5.967 c=5.988 alpha=90.00 beta=90.00 gamma=90.00
Fractional coordinates of all 4 atoms:
K  0.000  0.000  0.247
K  0.000  0.000  0.753
Mo  0.500  0.500  0.000
Pb  0.500  0.500  0.500

A geometry-optimized K2MoPb structure. Source: the Alexandria database, functional GGA-PBE.

Output
- Symmetry: Cmm2 (35)

Unit cell a=3.274 b=3.274 c=11.948 alpha=90.00 beta=90.00 gamma=102.49
Fractional coordinates of all 4 atoms:
K  0.000  0.000  0.000
K  0.500  0.500  0.355
Mo  0.000  0.000  0.588
Pb  0.500  0.500  0.757

A geometry-optimized KMo2Pb structure. Source: the Alexandria database, functional GGA-PBE.

Output
- Symmetry: I4/mmm (139)

Unit cell a=5.734 b=5.734 c=5.734 alpha=137.35 beta=137.35 gamma=61.90
Fractional coordinates of all 4 atoms:
K  0.000  0.000  0.000
Mo  0.250  0.750  0.500
Mo  0.750  0.250  0.500
Pb  0.500  0.500  0.000

A geometry-optimized KMo2Pb structure. Source: the Alexandria database, functional GGA-PBE.

Output
- Symmetry: P4/mmm (123)

Unit cell a=2.882 b=2.882 c=10.868 alpha=90.00 beta=90.00 gamma=90.00
Fractional coordinates of all 4 atoms:
K  0.000  0.000  0.000
Mo  0.500  0.500  0.280
Mo  0.500  0.500  0.720
Pb  0.000  0.000  0.500

A geometry-optimized K2MoPb structure. Source: the Alexandria database, functional GGA-PBE.

Output
- Symmetry: P4/mmm (123)

Unit cell a=3.063 b=3.063 c=12.120 alpha=90.00 beta=90.00 gamma=90.00
Fractional coordinates of all 4 atoms:
K  0.000  0.000  0.242
K  0.000  0.000  0.758
Mo  0.500  0.500  0.000
Pb  0.500  0.500  0.500

A geometry-optimized K2MoPb structure. Source: the Alexandria database, functional GGA-PBE.

Output
- Symmetry: I-4m2 (119)

Unit cell a=5.633 b=5.633 c=5.633 alpha=119.94 beta=119.94 gamma=90.10
Fractional coordinates of all 4 atoms:
K  0.000  0.000  0.000
K  0.750  0.250  0.500
Mo  0.500  0.500  0.000
Pb  0.250  0.750  0.500

A geometry-optimized KMoPb structure. Source: the Alexandria database, functional GGA-PBE.

Output
- Polymorph energy (0 for the lowest one): 7.1 meV per atom
- Symmetry: Fmm2 (42)

Unit cell a=8.596 b=8.434 c=3.098 alpha=82.47 beta=76.59 gamma=20.94
Fractional coordinates of all 3 atoms:
K  0.000  0.000  0.000
Mo  0.676  0.676  0.324
Pb  0.311  0.311  0.689

A geometry-optimized KMo2Pb structure. Source: the Alexandria database, functional GGA-PBE.

Output
- Symmetry: F-43m (216)

Unit cell a=4.920 b=4.920 c=4.920 alpha=60.00 beta=60.00 gamma=60.00
Fractional coordinates of all 4 atoms:
K  0.000  0.000  0.000
Mo  0.500  0.500  0.500
Mo  0.750  0.750  0.750
Pb  0.250  0.250  0.250

A geometry-optimized KMo2Pb structure. Source: the Alexandria database, functional GGA-PBE.

Output
- Symmetry: P4/mmm (123)

Unit cell a=3.764 b=3.764 c=7.656 alpha=90.00 beta=90.00 gamma=90.00
Fractional coordinates of all 4 atoms:
K  0.000  0.000  0.000
Mo  0.500  0.500  0.352
Mo  0.500  0.500  0.648
Pb  0.000  0.000  0.500

A geometry-optimized KMoPb4 structure. Source: the Alexandria database, functional GGA-PBE.

Output
- Symmetry: F-43m (216)

Unit cell a=6.515 b=6.515 c=6.515 alpha=60.00 beta=60.00 gamma=60.00
Fractional coordinates of all 6 atoms:
K  0.000  0.000  0.000
Mo  0.750  0.750  0.750
Pb  0.376  0.376  0.376
Pb  0.376  0.376  0.872
Pb  0.376  0.872  0.376
Pb  0.872  0.376  0.376

A geometry-optimized K2MoPb structure. Source: the Alexandria database, functional GGA-PBE.

Output
- Symmetry: Imm2 (44)

Unit cell a=6.524 b=6.524 c=6.524 alpha=136.86 beta=124.00 gamma=73.21
Fractional coordinates of all 4 atoms:
K  0.000  0.000  0.000
K  0.696  0.196  0.500
Mo  0.284  0.784  0.500
Pb  0.421  0.421  0.000

A geometry-optimized KMo2Pb structure. Source: the Alexandria database, functional GGA-PBE.

Output
- Symmetry: C2/m (12)

Unit cell a=6.198 b=6.198 c=2.832 alpha=101.52 beta=101.52 gamma=120.89
Fractional coordinates of all 4 atoms:
K  0.000  0.000  0.000
Mo  0.000  0.500  0.500
Mo  0.500  0.000  0.500
Pb  0.500  0.500  0.000

A geometry-optimized KMoPb structure. Source: the Alexandria database, functional GGA-PBE.

Output
- Polymorph energy (0 for the lowest one): 16.6 meV per atom
- Symmetry: I4mm (107)

Unit cell a=8.355 b=8.355 c=8.355 alpha=158.71 beta=158.71 gamma=30.29
Fractional coordinates of all 3 atoms:
K  0.000  0.000  0.000
Mo  0.320  0.320  0.000
Pb  0.689  0.689  0.000

A geometry-optimized K2MoPb structure. Source: the Alexandria database, functional GGA-PBE.

Output
- Symmetry: Cmmm (65)

Unit cell a=3.086 b=3.086 c=12.260 alpha=90.00 beta=90.00 gamma=103.81
Fractional coordinates of all 4 atoms:
K  0.000  0.000  0.241
K  0.000  0.000  0.759
Mo  0.500  0.500  0.000
Pb  0.500  0.500  0.500

A geometry-optimized K2MoPb structure. Source: the Alexandria database, functional GGA-PBE.

Output
- Symmetry: C2/m (12)

Unit cell a=6.724 b=6.724 c=3.169 alpha=94.74 beta=94.74 gamma=127.50
Fractional coordinates of all 4 atoms:
K  0.000  0.500  0.000
K  0.500  0.000  0.000
Mo  0.000  0.000  0.500
Pb  0.500  0.500  0.500

A geometry-optimized K2MoPb structure. Source: the Alexandria database, functional GGA-PBE.

Output
- Symmetry: I-42d (122)

Unit cell a=9.316 b=9.316 c=9.316 alpha=94.92 beta=94.92 gamma=145.93
Fractional coordinates of all 8 atoms:
K  0.375  0.218  0.343
K  0.782  0.125  0.157
K  0.875  0.032  0.657
K  0.968  0.625  0.843
Mo  0.000  0.000  0.000
Mo  0.750  0.250  0.500
Pb  0.250  0.750  0.500
Pb  0.500  0.500  0.000

A geometry-optimized KMoPb structure. Source: the Alexandria database, functional GGA-PBE.

Output
- Polymorph energy (0 for the lowest one): 228.8 meV per atom
- Symmetry: P3m1 (156)

Unit cell a=5.427 b=5.427 c=3.037 alpha=90.00 beta=90.00 gamma=120.00
Fractional coordinates of all 3 atoms:
K  0.000  0.000  0.000
Mo  0.667  0.333  0.434
Pb  0.333  0.667  0.528

A geometry-optimized KMo2Pb structure. Source: the Alexandria database, functional GGA-PBE.

Output
- Symmetry: Cmmm (65)

Unit cell a=2.957 b=2.957 c=10.875 alpha=90.00 beta=90.00 gamma=111.41
Fractional coordinates of all 4 atoms:
K  0.000  0.000  0.000
Mo  0.500  0.500  0.282
Mo  0.500  0.500  0.718
Pb  0.000  0.000  0.500

A geometry-optimized KMoPb structure. Source: the Alexandria database, functional GGA-PBE.

Output
- Polymorph energy (0 for the lowest one): 0.0 meV per atom
- Symmetry: Imm2 (44)

Unit cell a=7.093 b=7.093 c=7.093 alpha=151.27 beta=144.37 gamma=46.39
Fractional coordinates of all 3 atoms:
K  0.000  0.000  0.000
Mo  0.738  0.738  0.000
Pb  0.265  0.265  0.000

A geometry-optimized KMo2Pb structure. Source: the Alexandria database, functional GGA-PBE.

Output
- Symmetry: Cm (8)

Unit cell a=4.595 b=4.595 c=7.956 alpha=95.22 beta=95.22 gamma=39.40
Fractional coordinates of all 4 atoms:
K  0.000  0.000  0.000
Mo  0.227  0.227  0.664
Mo  0.510  0.510  0.555
Pb  0.761  0.761  0.340

A geometry-optimized KMo2Pb structure. Source: the Alexandria database, functional GGA-PBE.

Output
- Symmetry: C2/m (12)

Unit cell a=5.571 b=5.571 c=6.564 alpha=97.40 beta=97.40 gamma=34.93
Fractional coordinates of all 4 atoms:
K  0.000  0.000  0.000
Mo  0.233  0.233  0.620
Mo  0.767  0.767  0.380
Pb  0.500  0.500  0.500

A geometry-optimized KMo2Pb structure. Source: the Alexandria database, functional GGA-PBE.

Output
- Symmetry: Cmm2 (35)

Unit cell a=3.114 b=3.114 c=10.553 alpha=90.00 beta=90.00 gamma=113.68
Fractional coordinates of all 4 atoms:
K  0.000  0.000  0.000
Mo  0.000  0.000  0.539
Mo  0.500  0.500  0.710
Pb  0.500  0.500  0.300

A geometry-optimized KMo2Pb structure. Source: the Alexandria database, functional GGA-PBE.

Output
- Symmetry: Immm (71)

Unit cell a=6.516 b=6.516 c=6.516 alpha=154.48 beta=130.43 gamma=56.57
Fractional coordinates of all 4 atoms:
K  0.000  0.000  0.000
Mo  0.281  0.781  0.500
Mo  0.719  0.219  0.500
Pb  0.500  0.500  0.000

A geometry-optimized K2MoPb structure. Source: the Alexandria database, functional GGA-PBE.

Output
- Symmetry: P2/m (10)

Unit cell a=3.197 b=5.991 c=5.983 alpha=90.00 beta=97.88 gamma=90.00
Fractional coordinates of all 4 atoms:
K  0.012  0.000  0.253
K  0.988  0.000  0.747
Mo  0.500  0.500  0.500
Pb  0.500  0.500  0.000

A geometry-optimized K2MoPb structure. Source: the Alexandria database, functional GGA-PBE.

Output
- Symmetry: P4/mmm (123)

Unit cell a=4.450 b=4.450 c=5.933 alpha=90.00 beta=90.00 gamma=90.00
Fractional coordinates of all 4 atoms:
K  0.000  0.500  0.000
K  0.500  0.000  0.000
Mo  0.000  0.000  0.500
Pb  0.500  0.500  0.500

Results for DFT total energy: -5.45; -3.62; -5.55; -3.24; -5.62; -5.33; -3.18; -3.35; -5.13; -5.26; -3.17; -3.32; -4.33; -5.38; -5.55; -3.82; -3.40; -5.27; -4.32; -3.17; -3.17; -3.22; -4.11; -5.36; -4.34; -5.87; -5.76; -5.96; -5.33; -3.18; -3.25 (in eV per atom, following the order of the records).